La2GaAgOs | PBE | optimized geometry

Unit cell a=5.5244 b=5.5244 c=4.8557 alpha=90.00 beta=90.00 gamma=90.00
Closest atoms and distances in Å follow each position.
Atoms (fractional coordinates):
La1 0.0000 0.5000 0.0000  2 Os 2.76
La2 0.5000 0.0000 0.0000  2 Os 2.76
Ga1 0.0000 0.0000 0.5000  2 Os 2.43
Ag1 0.5000 0.5000 0.5000  8 La 3.68, 4 Ga 3.91
Os1 0.0000 0.0000 0.0000  2 Ga 2.43

Energy of formation from the pure elements: -0.184 eV/atom
Density: 7.2 g/cm³
DOS(E_F): 3.511 states/eV/f.u.